Entry 1:
NpMnPbSe4: optimized geometry, GGA-PBE.

a = 6.9068 Å, b = 6.4747 Å, c = 8.5054 Å
α = 90.00°, β = 107.72°, γ = 90.00°
Closest atoms and distances in Å follow each position.
Atoms (fractional coordinates):
Se 0.0206 0.9874 0.7301  1 Mn 2.39
Se 0.4309 0.7500 0.1279  1 Mn 2.43
Se 0.5691 0.2500 0.8721  1 Mn 2.43
Se 0.0206 0.5126 0.7301  1 Mn 2.39
Se 0.9794 0.0126 0.2699  1 Mn 2.39
Se 0.5596 0.2500 0.3973  1 Mn 2.39
Np 0.7669 0.7500 0.4450  6 Se 2.93-2.97
Mn 0.2342 0.7500 0.3206  4 Se 2.39-2.43
Se 0.9794 0.4874 0.2699  1 Mn 2.39
Pb 0.2673 0.2500 0.0546  4 Se 2.95-3.25
Se 0.4404 0.7500 0.6027  1 Mn 2.39
Pb 0.7327 0.7500 0.9454  4 Se 2.95-3.25
Np 0.2331 0.2500 0.5550  6 Se 2.93-2.97
Mn 0.7658 0.2500 0.6794  4 Se 2.39-2.43

Calculated values
ΔE_f (raw): -0.6648 eV/atom
space-group type: P2_1/m, No. 11
density: 7.47 g/cm³

Entry 2:
Sc3HRu: optimized geometry, GGA-PBE.

a = 4.3078 Å, b = 4.3078 Å, c = 4.3078 Å
α = 90.00°, β = 90.00°, γ = 90.00°
Closest atoms and distances in Å follow each position.
Atoms (fractional coordinates):
Sc 0.0000 0.5000 0.0000  2 H 2.15
H 0.0000 0.0000 0.0000  6 Sc 2.15
Sc 0.5000 0.0000 0.0000  2 H 2.15
Ru 0.5000 0.5000 0.5000  12 Sc 3.05
Sc 0.0000 0.0000 0.5000  2 H 2.15

Calculated values
offset from the most stable computed form: 0 meV/atom
space-group type: Pm-3m, No. 221
density: 4.92 g/cm³

Entry 3:
PuBeSi2: optimized geometry, GGA-PBE.

a = 3.9484 Å, b = 3.9660 Å, c = 8.3726 Å
α = 103.70°, β = 90.00°, γ = 90.00°
Closest atoms and distances in Å follow each position.
Atoms (fractional coordinates):
Be 0.5000 0.4220 0.8439  5 Si 2.17-2.35
Si 0.5000 0.7117 0.4235  1 Be 2.17, 2 Si 2.34
Be 0.5000 0.5780 0.1561  5 Si 2.17-2.35
Si 0.5000 0.0000 0.0000  4 Be 2.35
Pu 0.0000 0.8599 0.7199  4 Be 2.97, 10 Si 3.02-3.12
Si 0.0000 0.5000 0.0000  4 Be 2.35
Si 0.5000 0.2883 0.5765  1 Be 2.17, 2 Si 2.34
Pu 0.0000 0.1401 0.2801  4 Be 2.97, 10 Si 3.02-3.12

Calculated values
ΔE_f (raw): -0.3548 eV/atom
space-group type: Cmmm, No. 65
density: 8.06 g/cm³